First-principles (PBE-GGA) data for crystalline Ge2SbPbW at its relaxed geometry, as listed in the Alexandria database.

Unit cell a=5.362 b=5.154 c=5.362 alpha=90.00 beta=90.00 gamma=90.00
Each line ends with the local moment (μB).
Sites, in units of the cell vectors:
Pb1 0.500 0.500 0.500  -0.04
Sb1 0.000 0.000 0.000  -0.05
Ge1 0.000 0.000 0.500  -0.01
Ge2 0.500 0.000 0.000  -0.04
W1 0.000 0.500 0.000  1.96

## Properties
* magnetic moment: 2.4 μB/f.u.
* ΔE_f (raw): 1.43 eV per atom
* DFT total energy: -4.575 eV/atom